Here is crystalline ZnAu2F8 at its relaxed geometry from the Alexandria database. Energies are from PBE.

Cell and atoms, written as extended XYZ:
```
22
Lattice="5.6336 0.0000 0.0000 0.0000 5.7046 0.0000 -3.7476 0.0000 10.5008" Properties=species:S:1:pos:R:3 pbc="T T T"
Zn 0.0000 0.0000 0.0000
Zn -1.8738 2.8523 5.2504
Au 0.8278 1.2768 3.4500
Au -1.0460 1.5755 8.7004
Au 2.9320 4.1291 1.8004
Au 1.0582 4.4279 7.0509
F -0.3138 0.7482 1.9210
F -2.1876 2.1041 7.1715
F -0.7621 1.2512 4.6632
F -2.6359 1.6011 9.9136
F -0.1100 3.9228 5.5351
F 1.7638 4.6341 0.2847
F 1.3855 4.1142 2.9737
F -0.4883 4.4428 8.2241
F 2.3742 1.2619 2.2767
F 0.5004 1.5905 7.5271
F 0.1222 1.0705 10.2162
F 1.9960 1.7818 4.9658
F 4.5218 4.1035 0.5872
F 2.6480 4.4534 5.8376
F 4.0735 3.6005 3.3294
F 2.1997 4.9564 8.5798
```

Values from the calculation:
- Magnetization: 0.0000 μB per atom
- Uncorrected formation energy: -1.3824 eV per atom
- Offset from the most stable computed form: 0 meV per atom
- VASP energy: -3.455 eV per atom
- Crystal system: monoclinic

***

Here is crystalline FeTeAs2 at its relaxed geometry from the Alexandria database. Energies are from PBE.

Cell and atoms, written as extended XYZ:
```
4
Lattice="2.9968 0.0000 0.0000 0.0000 2.9968 0.0000 0.0000 0.0000 9.1823" Properties=species:S:1:pos:R:3 pbc="T T T"
Fe 0.0000 0.0000 0.0000
Te 0.0000 0.0000 4.5911
As 1.4984 1.4984 1.3833
As 1.4984 1.4984 7.7990
```

Values from the calculation:
- Magnetization: 0.2721 μB per atom
- Uncorrected formation energy: 0.0563 eV per atom
- VASP energy: -5.170 eV per atom
- Crystal system: tetragonal

***

Here is crystalline KSi5 at its relaxed geometry from the Alexandria database. Energies are from PBE.

Cell and atoms, written as extended XYZ:
```
6
Lattice="4.1763 0.0000 0.0000 0.0000 1.7144 8.6832 0.0000 -1.7144 8.6832" Properties=species:S:1:pos:R:3 pbc="T T T"
K 0.0000 0.0000 0.0000
Si 0.0000 0.0000 5.5408
Si 0.0000 0.0000 12.2579
Si 2.0881 0.0000 4.0240
Si 2.0881 0.0000 10.9009
Si 2.0881 0.0000 14.6557
```

Values from the calculation:
- Magnetization: 0.0000 μB per atom
- Uncorrected formation energy: 0.3355 eV per atom
- Offset from the most stable computed form: 72 meV per atom
- VASP energy: -4.367 eV per atom
- Crystal system: orthorhombic

***

Here is crystalline Ba3PIr at its relaxed geometry from the Alexandria database. Energies are from PBE.

Cell and atoms, written as extended XYZ:
```
5
Lattice="5.8707 0.0000 0.0000 0.0000 5.8707 0.0000 0.0000 0.0000 5.8707" Properties=species:S:1:pos:R:3 pbc="T T T"
Ba 0.0000 0.0000 2.9354
Ba 0.0000 2.9354 0.0000
Ba 2.9354 0.0000 0.0000
P 2.9354 2.9354 2.9354
Ir 0.0000 0.0000 0.0000
```

Values from the calculation:
- Magnetization: 0.0000 μB per atom
- ΔE_f: -0.16 eV per atom
- Offset from the most stable computed form: 0 meV per atom
- VASP energy: -4.163 eV per atom
- Crystal system: cubic

***

Here is crystalline Y2CO at its relaxed geometry from the Alexandria database. Energies are from PBE.

Cell and atoms, written as extended XYZ:
```
4
Lattice="1.7425 1.0061 6.0193 -1.7425 1.0061 6.0193 0.0000 -2.0121 6.0193" Properties=species:S:1:pos:R:3 pbc="T T T"
Y 0.0000 0.0000 0.0000
Y 0.0000 0.0000 3.2252
C 0.0000 0.0000 10.6006
O 0.0000 0.0000 7.4769
```

Values from the calculation:
- Magnetization: 0.0000 μB per atom
- Uncorrected formation energy: -1.5547 eV per atom
- Offset from the most stable computed form: 170 meV per atom
- VASP energy: -8.332 eV per atom
- Crystal system: trigonal

***

Here is crystalline ZnFe2Rh at its relaxed geometry from the Alexandria database. Energies are from PBE.

Cell and atoms, written as extended XYZ:
```
4
Lattice="2.6658 0.0000 0.0000 0.0000 2.6658 0.0000 0.0000 0.0000 7.2947" Properties=species:S:1:pos:R:3 pbc="T T T"
Zn 0.0000 0.0000 0.0000
Fe 1.3329 1.3329 1.8252
Fe 1.3329 1.3329 5.4695
Rh 0.0000 0.0000 3.6474
```

Values from the calculation:
- Magnetization: 1.3264 μB per atom
- ΔE_f: 0.00 eV per atom
- VASP energy: -6.383 eV per atom
- Crystal system: tetragonal

***

Repeat the second record exactly.
Here is crystalline FeTeAs2 at its relaxed geometry from the Alexandria database. Energies are from PBE.

Cell and atoms, written as extended XYZ:
```
4
Lattice="2.9968 0.0000 0.0000 0.0000 2.9968 0.0000 0.0000 0.0000 9.1823" Properties=species:S:1:pos:R:3 pbc="T T T"
Fe 0.0000 0.0000 0.0000
Te 0.0000 0.0000 4.5911
As 1.4984 1.4984 1.3833
As 1.4984 1.4984 7.7990
```

Values from the calculation:
- Magnetization: 0.2721 μB per atom
- Uncorrected formation energy: 0.0563 eV per atom
- VASP energy: -5.170 eV per atom
- Crystal system: tetragonal

***

VASP energy of number 6 (ZnFe2Rh)? -6.383 eV per atom